DFT (PBE-GGA) results for a relaxed NaDyNi4 crystal.

a = 4.986 Å, b = 4.986 Å, c = 4.986 Å
α = 60.00°, β = 60.00°, γ = 60.00°
Sites, in units of the cell vectors:
1 Na 0.000 0.000 0.000
2 Dy 0.250 0.250 0.250
3 Ni 0.125 0.625 0.625
4 Ni 0.625 0.125 0.625
5 Ni 0.625 0.625 0.125
6 Ni 0.625 0.625 0.625

Values from the calculation:
The value obtained for the density of states at the Fermi level is 0.968 states/eV/atom. For the total energy, the calculation gives -30.1 eV per cell. The theoretical density is 8.0 g/cm3. For the size of the total moment, the calculation gives 0.00 μB per formula unit. The formation energy comes out at -99 kJ/mol of formula units.